Entry 1:
A geometry-optimized BaH8Pd4 structure. Source: the Alexandria database, functional PBE-GGA.

The space group is R-3m (No. 166, hexagonal axes) and the conventional cell measures 5.8170, 5.8170 and 17.9651 Å, with angles of 90.00, 90.00 and 120.00 degrees. Symmetry generates all atoms from Ba at (0.0000, 0.0000, 0.0000), H at (0.0000, 0.0000, 0.2126), H at (0.0087, 0.5043, 0.2129), Pd at (0.0000, 0.0000, 0.5000) and Pd at (0.0000, 0.5000, 0.5000).

=====

Entry 2:
A geometry-optimized BaHPd3 structure. Source: the Alexandria database, functional PBE-GGA.

The value obtained for the energy above the lowest structure with this stoichiometry is 1665.6 meV per atom.

The space group is Pm-3m (No. 221) and the conventional cell measures 5.555, 5.555 and 5.555 Å, with angles of 90.00, 90.00 and 90.00 degrees. Symmetry generates all atoms from Ba at (0.000, 0.000, 0.000), H at (0.500, 0.500, 0.500) and Pd at (0.000, 0.000, 0.500).

=====

Number 1: E -51.8 eV per formula unit, size of the total moment 0.00 μB per cell. Number 2: E -13.8 eV per formula unit, size of the total moment 0.88 μB per cell.